Record 1
Density functional theory data (PBE) for a geometry-optimized RbCd14 structure.

Output
symmetry	R-3m, No. 166

POSCAR file:
```
RbCd14
1.0
4.509 2.603 5.403
-4.509 2.603 5.403
0.000 -5.207 5.403
Cd Rb
14 1
Direct
0.737 0.080 0.737
0.263 0.920 0.263
0.335 0.000 0.665
0.263 0.263 0.920
0.737 0.737 0.080
0.080 0.737 0.737
0.708 0.708 0.708
0.335 0.665 0.000
0.665 0.000 0.335
0.000 0.335 0.665
0.920 0.263 0.263
0.665 0.335 0.000
0.292 0.292 0.292
0.000 0.665 0.335
0.500 0.500 0.500
```


Record 2
Density functional theory data (PBE) for a geometry-optimized RbCd2 structure.

Output
symmetry	Fd-3m, No. 227

POSCAR file:
```
RbCd2
1.0
-5.307 -1.463 3.285
-5.702 2.136 -2.005
-4.271 -4.096 -2.467
Rb Cd
2 4
Direct
0.250 0.250 0.250
0.000 0.000 0.000
0.625 0.625 0.125
0.625 0.125 0.625
0.125 0.625 0.625
0.625 0.625 0.625
```


no.,E (eV/atom)
1,-0.89
2,-0.96